Material: KRbTa2Mo
Method: DFT, PBEsol
State: relaxed

Results
- Fermi-level density of states: 5.22 states/eV per cell
- Calculated formation energy: 1.4742 eV/atom
- Mass density: 6.36 g/cm3
- Symmetry: P4/mmm, No. 123

Lattice parameters (Å, degrees): 4.816 4.816 6.554 90.00 90.00 90.00
Sites, in units of the cell vectors:
Mo: 0.000 0.000 0.000
K: 0.000 0.000 0.500
Rb: 0.500 0.500 0.500
Ta: 0.000 0.500 0.000
Ta: 0.500 0.000 0.000